The following is a DFT calculation (PBE-GGA) of a geometry-optimized CaNdVN3 structure.

Geometry as extended XYZ:
```
12
Lattice="3.7997 0.0000 0.0000 -1.8999 6.5728 0.0556 0.0000 -1.8815 6.7394" Properties=species:S:1:pos:R:3 pbc="T T T"
Ca 0.0000 2.7718 6.2366
Ca 1.8999 1.9195 0.5584
Nd 1.8999 0.8666 3.8762
Nd 0.0000 3.8247 2.9189
V 1.8999 6.1571 1.5044
V 0.0000 -1.4658 5.2906
N 1.8999 4.2910 1.2039
N 1.8999 3.2572 4.5347
N 1.8999 -0.4398 1.7355
N 0.0000 1.4341 2.2603
N 0.0000 5.1311 5.0596
N 0.0000 0.4004 5.5912
```

Properties
Spin magnetization, μB per formula unit: 0.000
Energy relative to the elements, uncorrected, eV per atom: -1.025
DFT total energy, eV per cell: -94.03